The following is a DFT calculation (PBE-GGA) of a relaxed PrY2Pd crystal.

## Properties
- Formation enthalpy at 0 K: -446.2 meV/atom
- Magnetic moment: 0.00 μB per formula unit

Cell lengths 6.603, 7.164, 9.830 Å; angles 90.00, 90.00, 90.00 degrees
Fractional coordinates of all 16 atoms:
Pr 0.637 0.519 0.250
Pr 0.863 0.019 0.250
Pr 0.363 0.481 0.750
Pr 0.137 0.981 0.750
Y 0.173 0.678 0.061
Y 0.327 0.178 0.439
Y 0.827 0.322 0.561
Y 0.673 0.822 0.939
Y 0.827 0.322 0.939
Y 0.673 0.822 0.561
Y 0.173 0.678 0.439
Y 0.327 0.178 0.061
Pd 0.074 0.386 0.250
Pd 0.426 0.886 0.250
Pd 0.926 0.614 0.750
Pd 0.574 0.114 0.750